Entry 1:
The following is a PBE-GGA calculation of CsRb2BaI after structural relaxation, from Alexandria.

Properties
Uncorrected energy in eV/atom: -1.66
Crystal system: tetragonal

```
data_CsRb2BaI
_chemical_formula_sum 'Cs1 Rb2 Ba1 I1'
_symmetry_space_group_name_H-M 'P 4/m m m'
_symmetry_Int_Tables_number 123
_symmetry_space_group_name_Hall '-P 4 2'
_cell_length_a 7.6353
_cell_length_b 7.6353
_cell_length_c 6.9239
_cell_angle_alpha 90.00
_cell_angle_beta 90.00
_cell_angle_gamma 90.00
loop_
_atom_site_label
_atom_site_type_symbol
_atom_site_fract_x
_atom_site_fract_y
_atom_site_fract_z
Cs1 Cs 0.0000 0.0000 0.0000
Rb1 Rb 0.0000 0.5000 0.5000
Ba1 Ba 0.5000 0.5000 0.0000
I1 I 0.5000 0.5000 0.5000
```



Entry 2:
The following is a PBE-GGA calculation of LiLaCd5 after structural relaxation, from Alexandria.

Properties
Crystal system: orthorhombic
E_form in eV per atom: -0.121

```
data_LiLaCd5
_chemical_formula_sum 'Li2 La2 Cd10'
_symmetry_space_group_name_H-M 'C m m m'
_symmetry_Int_Tables_number 65
_symmetry_space_group_name_Hall '-C 2 2'
_cell_length_a 5.9063
_cell_length_b 8.9351
_cell_length_c 7.0235
_cell_angle_alpha 90.00
_cell_angle_beta 90.00
_cell_angle_gamma 90.00
loop_
_atom_site_label
_atom_site_type_symbol
_atom_site_fract_x
_atom_site_fract_y
_atom_site_fract_z
Li1 Li 0.0000 0.0000 0.0000
La1 La 0.0000 0.5000 0.5000
Cd1 Cd 0.0000 0.5000 0.0000
Cd2 Cd 0.2500 0.2500 0.2260
```



Entry 3:
The following is a PBE-GGA calculation of Zn2TeIr after structural relaxation, from Alexandria.

Properties
Uncorrected energy in eV/atom: -3.59
Crystal system: tetragonal

```
data_Zn2TeIr
_chemical_formula_sum 'Zn2 Te1 Ir1'
_symmetry_space_group_name_H-M 'P 4/m m m'
_symmetry_Int_Tables_number 123
_symmetry_space_group_name_Hall '-P 4 2'
_cell_length_a 3.0647
_cell_length_b 3.0647
_cell_length_c 8.5380
_cell_angle_alpha 90.00
_cell_angle_beta 90.00
_cell_angle_gamma 90.00
loop_
_atom_site_label
_atom_site_type_symbol
_atom_site_fract_x
_atom_site_fract_y
_atom_site_fract_z
Zn1 Zn 0.0000 0.0000 0.1682
Te1 Te 0.5000 0.5000 0.5000
Ir1 Ir 0.5000 0.5000 0.0000
```



Number 1: magnetization 0.00 μB per formula unit. Number 2: magnetization 0.00 μB per formula unit. Number 3: magnetization 0.00 μB per formula unit.